Computed, not measured: an optimized crystal structure of CaLaMg4 at the PBE level of DFT.

Output
DOS(E_F), states/eV per atom: 0.509
Total moment, μB/cell: 0.00
Mass density, Mg/m³: 2.7
E_form, eV/atom: -0.1245
Raw total energy, Ry per atom: -0.172
Space-group type: F-43m

Cell: 6.209 6.209 6.209 Å, 60.00 60.00 60.00°
Fractional coordinates of all 6 atoms:
1 Ca 0.000 0.000 0.000
2 La 0.750 0.750 0.750
3 Mg 0.376 0.376 0.376
4 Mg 0.376 0.376 0.873
5 Mg 0.376 0.873 0.376
6 Mg 0.873 0.376 0.376

Computed, not measured: an optimized crystal structure of CaLaMg17 at the PBE level of DFT.

Output
DOS(E_F), states/eV per atom: 0.455
Total moment, μB/cell: 0.00
Mass density, Mg/m³: 2.1
E_form, eV/atom: -0.0552
Raw total energy, Ry per atom: -0.136
Space-group type: R3m

Cell: 7.868 7.868 7.868 Å, 82.43 82.43 82.43°
Fractional coordinates of all 19 atoms:
1 Ca 0.000 0.000 0.000
2 La 0.668 0.668 0.668
3 Mg 0.035 0.335 0.636
4 Mg 0.035 0.636 0.335
5 Mg 0.175 0.686 0.686
6 Mg 0.235 0.235 0.235
7 Mg 0.335 0.035 0.636
8 Mg 0.335 0.636 0.035
9 Mg 0.339 0.339 0.833
10 Mg 0.339 0.833 0.339
11 Mg 0.434 0.434 0.434
12 Mg 0.493 0.985 0.985
13 Mg 0.636 0.035 0.335
14 Mg 0.636 0.335 0.035
15 Mg 0.686 0.175 0.686
16 Mg 0.686 0.686 0.175
17 Mg 0.833 0.339 0.339
18 Mg 0.985 0.493 0.985
19 Mg 0.985 0.985 0.493

Computed, not measured: an optimized crystal structure of CaLaMg2 at the PBE level of DFT.

Output
DOS(E_F), states/eV per atom: 1.305
Total moment, μB/cell: 0.00
Mass density, Mg/m³: 3.0
E_form, eV/atom: -0.1121
Offset from the most stable computed form, meV per atom: 0
Raw total energy, Ry per atom: -0.194
Space-group type: Fm-3m

Cell: 5.605 5.605 5.605 Å, 60.00 60.00 60.00°
Fractional coordinates of all 4 atoms:
1 Ca 0.000 0.000 0.000
2 La 0.500 0.500 0.500
3 Mg 0.250 0.250 0.250
4 Mg 0.750 0.750 0.750

Computed, not measured: an optimized crystal structure of CaLa3Mg4 at the PBE level of DFT.

Output
DOS(E_F), states/eV per atom: 0.957
Total moment, μB/cell: 0.00
Mass density, Mg/m³: 3.7
E_form, eV/atom: -0.1066
Raw total energy, Ry per atom: -0.221
Space-group type: Pmmm

Cell: 3.974 5.614 11.192 Å, 90.00 90.00 90.00°
Fractional coordinates of all 8 atoms:
1 Ca 0.000 0.000 0.000
2 La 0.000 0.000 0.500
3 La 0.000 0.500 0.253
4 La 0.000 0.500 0.747
5 Mg 0.500 0.000 0.249
6 Mg 0.500 0.000 0.751
7 Mg 0.500 0.500 0.000
8 Mg 0.500 0.500 0.500

Computed, not measured: an optimized crystal structure of Ca4LaMg5 at the PBE level of DFT.

Output
DOS(E_F), states/eV per atom: 1.147
Total moment, μB/cell: 0.24
Mass density, Mg/m³: 2.2
E_form, eV/atom: -0.0846
Raw total energy, Ry per atom: -0.160
Space-group type: P4/mmm

Cell: 3.954 3.954 19.966 Å, 90.00 90.00 90.00°
Fractional coordinates of all 10 atoms:
1 Ca 0.000 0.000 0.100
2 Ca 0.000 0.000 0.299
3 Ca 0.000 0.000 0.701
4 Ca 0.000 0.000 0.900
5 La 0.000 0.000 0.500
6 Mg 0.500 0.500 0.000
7 Mg 0.500 0.500 0.200
8 Mg 0.500 0.500 0.398
9 Mg 0.500 0.500 0.602
10 Mg 0.500 0.500 0.800

Computed, not measured: an optimized crystal structure of CaLaMg at the PBE level of DFT.

Output
DOS(E_F), states/eV per atom: 1.537
Total moment, μB/cell: 0.00
Mass density, Mg/m³: 2.8
E_form, eV/atom: 0.2516
Offset from the most stable computed form, meV per atom: 309
Raw total energy, Ry per atom: -0.190
Space-group type: P4/nmm

Cell: 5.438 5.438 8.018 Å, 90.00 90.00 90.00°
Fractional coordinates of all 6 atoms:
1 Ca 0.250 0.750 0.000
2 Ca 0.750 0.250 0.000
3 La 0.250 0.750 0.500
4 La 0.750 0.250 0.500
5 Mg 0.250 0.250 0.253
6 Mg 0.750 0.750 0.747

Computed, not measured: an optimized crystal structure of CaLa6Mg2 at the PBE level of DFT.

Output
DOS(E_F), states/eV per atom: 1.291
Total moment, μB/cell: 0.00
Mass density, Mg/m³: 4.7
E_form, eV/atom: 0.0765
Offset from the most stable computed form, meV per atom: 107
Raw total energy, Ry per atom: -0.278
Space-group type: P4/mmm

Cell: 5.035 5.035 12.859 Å, 90.00 90.00 90.00°
Fractional coordinates of all 9 atoms:
1 Ca 0.000 0.000 0.000
2 La 0.000 0.000 0.500
3 La 0.000 0.500 0.292
4 La 0.000 0.500 0.708
5 La 0.500 0.000 0.292
6 La 0.500 0.000 0.708
7 La 0.500 0.500 0.500
8 Mg 0.500 0.500 0.111
9 Mg 0.500 0.500 0.889

Computed, not measured: an optimized crystal structure of CaLa2Mg2 at the PBE level of DFT.

Output
DOS(E_F), states/eV per atom: 1.279
Total moment, μB/cell: 0.00
Mass density, Mg/m³: 3.8
E_form, eV/atom: -0.0590
Offset from the most stable computed form, meV per atom: 0
Raw total energy, Ry per atom: -0.226
Space-group type: P2_1/m

Cell: 3.768 5.708 15.175 Å, 90.00 97.15 90.00°
Fractional coordinates of all 10 atoms:
1 Ca 0.150 0.250 0.300
2 Ca 0.850 0.750 0.700
3 La 0.042 0.750 0.088
4 La 0.235 0.750 0.468
5 La 0.765 0.250 0.532
6 La 0.958 0.250 0.912
7 Mg 0.362 0.250 0.725
8 Mg 0.446 0.750 0.890
9 Mg 0.554 0.250 0.110
10 Mg 0.638 0.750 0.275

Computed, not measured: an optimized crystal structure of CaLaMg14 at the PBE level of DFT.

Output
DOS(E_F), states/eV per atom: 0.348
Total moment, μB/cell: 0.00
Mass density, Mg/m³: 2.1
E_form, eV/atom: 0.0030
Offset from the most stable computed form, meV per atom: 0
Raw total energy, Ry per atom: -0.134
Space-group type: P-6m2

Cell: 6.702 6.702 10.448 Å, 90.00 90.00 120.00°
Fractional coordinates of all 16 atoms:
1 Ca 0.000 0.000 0.000
2 La 0.000 0.000 0.500
3 Mg 0.005 0.503 0.000
4 Mg 0.012 0.506 0.500
5 Mg 0.172 0.344 0.249
6 Mg 0.172 0.344 0.751
7 Mg 0.172 0.828 0.249
8 Mg 0.172 0.828 0.751
9 Mg 0.494 0.506 0.500
10 Mg 0.494 0.988 0.500
11 Mg 0.497 0.503 0.000
12 Mg 0.497 0.995 0.000
13 Mg 0.656 0.828 0.249
14 Mg 0.656 0.828 0.751
15 Mg 0.667 0.333 0.256
16 Mg 0.667 0.333 0.744

Computed, not measured: an optimized crystal structure of CaLaMg2 at the PBE level of DFT.

Output
DOS(E_F), states/eV per atom: 1.115
Total moment, μB/cell: 0.00
Mass density, Mg/m³: 3.0
E_form, eV/atom: 0.0493
Offset from the most stable computed form, meV per atom: 161
Raw total energy, Ry per atom: -0.182
Space-group type: R-3m

Cell: 11.528 11.528 11.528 Å, 17.97 17.97 17.97°
Fractional coordinates of all 4 atoms:
1 Ca 0.000 0.000 0.000
2 La 0.500 0.500 0.500
3 Mg 0.251 0.251 0.251
4 Mg 0.749 0.749 0.749

Computed, not measured: an optimized crystal structure of CaLaMg2 at the PBE level of DFT.

Output
DOS(E_F), states/eV per atom: 0.962
Total moment, μB/cell: 0.00
Mass density, Mg/m³: 2.9
E_form, eV/atom: 0.0824
Offset from the most stable computed form, meV per atom: 195
Raw total energy, Ry per atom: -0.180
Space-group type: R3m

Cell: 11.253 11.253 11.253 Å, 18.72 18.72 18.72°
Fractional coordinates of all 4 atoms:
1 Ca 0.000 0.000 0.000
2 La 0.234 0.234 0.234
3 Mg 0.484 0.484 0.484
4 Mg 0.748 0.748 0.748

Computed, not measured: an optimized crystal structure of Ca14LaMg at the PBE level of DFT.

Output
DOS(E_F), states/eV per atom: 1.222
Total moment, μB/cell: 0.01
Mass density, Mg/m³: 1.9
E_form, eV/atom: 0.0266
Raw total energy, Ry per atom: -0.157
Space-group type: P4/mmm

Cell: 7.784 7.784 10.639 Å, 90.00 90.00 90.00°
Fractional coordinates of all 16 atoms:
1 Ca 0.000 0.000 0.000
2 Ca 0.000 0.500 0.000
3 Ca 0.000 0.500 0.500
4 Ca 0.246 0.246 0.259
5 Ca 0.246 0.246 0.741
6 Ca 0.246 0.754 0.259
7 Ca 0.246 0.754 0.741
8 Ca 0.500 0.000 0.000
9 Ca 0.500 0.000 0.500
10 Ca 0.500 0.500 0.000
11 Ca 0.754 0.246 0.259
12 Ca 0.754 0.246 0.741
13 Ca 0.754 0.754 0.259
14 Ca 0.754 0.754 0.741
15 La 0.500 0.500 0.500
16 Mg 0.000 0.000 0.500

Computed, not measured: an optimized crystal structure of Ca2La3Mg2 at the PBE level of DFT.

Output
DOS(E_F), states/eV per atom: 1.090
Total moment, μB/cell: 0.00
Mass density, Mg/m³: 3.7
E_form, eV/atom: -0.0120
Raw total energy, Ry per atom: -0.232
Space-group type: Cmmm

Cell: 17.213 17.213 3.742 Å, 90.00 90.00 167.30°
Fractional coordinates of all 7 atoms:
1 Ca 0.201 0.799 0.000
2 Ca 0.799 0.201 0.000
3 La 0.074 0.926 0.000
4 La 0.500 0.500 0.500
5 La 0.926 0.074 0.000
6 Mg 0.361 0.639 0.500
7 Mg 0.639 0.361 0.500

Computed, not measured: an optimized crystal structure of CaLa4Mg5 at the PBE level of DFT.

Output
DOS(E_F), states/eV per atom: 1.055
Total moment, μB/cell: 0.00
Mass density, Mg/m³: 3.8
E_form, eV/atom: -0.1088
Raw total energy, Ry per atom: -0.226
Space-group type: P4/mmm

Cell: 3.985 3.985 19.648 Å, 90.00 90.00 90.00°
Fractional coordinates of all 10 atoms:
1 Ca 0.000 0.000 0.000
2 La 0.000 0.000 0.202
3 La 0.000 0.000 0.399
4 La 0.000 0.000 0.601
5 La 0.000 0.000 0.798
6 Mg 0.500 0.500 0.100
7 Mg 0.500 0.500 0.300
8 Mg 0.500 0.500 0.500
9 Mg 0.500 0.500 0.700
10 Mg 0.500 0.500 0.900

Computed, not measured: an optimized crystal structure of Ca2LaMg at the PBE level of DFT.

Output
DOS(E_F), states/eV per atom: 1.189
Total moment, μB/cell: 1.79
Mass density, Mg/m³: 2.7
E_form, eV/atom: 0.2763
Raw total energy, Ry per atom: -0.173
Space-group type: I-42d

Cell: 7.412 7.412 7.412 Å, 102.88 102.88 123.66°
Fractional coordinates of all 8 atoms:
1 Ca 0.090 0.125 0.465
2 Ca 0.375 0.910 0.035
3 Ca 0.660 0.625 0.535
4 Ca 0.875 0.340 0.965
5 La 0.250 0.750 0.500
6 La 0.500 0.500 0.000
7 Mg 0.000 0.000 0.000
8 Mg 0.750 0.250 0.500

Computed, not measured: an optimized crystal structure of CaLaMg at the PBE level of DFT.

Output
DOS(E_F), states/eV per atom: 1.442
Total moment, μB/cell: 0.00
Mass density, Mg/m³: 3.3
E_form, eV/atom: 0.0546
Offset from the most stable computed form, meV per atom: 112
Raw total energy, Ry per atom: -0.205
Space-group type: Imm2

Cell: 6.264 6.264 6.264 Å, 146.75 130.90 60.59°
Fractional coordinates of all 3 atoms:
1 Ca 0.000 0.000 0.000
2 La 0.679 0.679 0.000
3 Mg 0.336 0.336 0.000

Computed, not measured: an optimized crystal structure of Ca2La3Mg3 at the PBE level of DFT.

Output
DOS(E_F), states/eV per atom: 1.308
Total moment, μB/cell: 0.45
Mass density, Mg/m³: 3.5
E_form, eV/atom: -0.0359
Raw total energy, Ry per atom: -0.219
Space-group type: Immm

Cell: 12.255 12.255 12.255 Å, 161.38 152.83 33.14°
Fractional coordinates of all 8 atoms:
1 Ca 0.234 0.234 0.000
2 Ca 0.766 0.766 0.000
3 La 0.000 0.000 0.000
4 La 0.382 0.882 0.500
5 La 0.618 0.118 0.500
6 Mg 0.118 0.618 0.500
7 Mg 0.500 0.500 0.000
8 Mg 0.882 0.382 0.500

Computed, not measured: an optimized crystal structure of CaLa2Mg5 at the PBE level of DFT.

Output
DOS(E_F), states/eV per atom: 0.662
Total moment, μB/cell: 0.00
Mass density, Mg/m³: 3.2
E_form, eV/atom: -0.0712
Raw total energy, Ry per atom: -0.187
Space-group type: I4/mmm

Cell: 9.714 9.714 9.714 Å, 149.89 149.89 43.10°
Fractional coordinates of all 8 atoms:
1 Ca 0.000 0.000 0.000
2 La 0.258 0.258 0.000
3 La 0.742 0.742 0.000
4 Mg 0.117 0.617 0.500
5 Mg 0.383 0.883 0.500
6 Mg 0.500 0.500 0.000
7 Mg 0.617 0.117 0.500
8 Mg 0.883 0.383 0.500

Computed, not measured: an optimized crystal structure of CaLaMg2 at the PBE level of DFT.

Output
DOS(E_F), states/eV per atom: 0.749
Total moment, μB/cell: 0.00
Mass density, Mg/m³: 3.0
E_form, eV/atom: -0.0999
Offset from the most stable computed form, meV per atom: 12
Raw total energy, Ry per atom: -0.193
Space-group type: Pmm2

Cell: 3.958 5.618 5.621 Å, 90.00 90.00 90.00°
Fractional coordinates of all 4 atoms:
1 Ca 0.000 0.000 0.000
2 La 0.000 0.500 0.498
3 Mg 0.500 0.000 0.500
4 Mg 0.500 0.500 0.998

Computed, not measured: an optimized crystal structure of CaLa2Mg2 at the PBE level of DFT.

Output
DOS(E_F), states/eV per atom: 1.329
Total moment, μB/cell: 0.00
Mass density, Mg/m³: 3.6
E_form, eV/atom: -0.0108
Offset from the most stable computed form, meV per atom: 48
Raw total energy, Ry per atom: -0.222
Space-group type: P4/mbm

Cell: 9.627 9.627 3.620 Å, 90.00 90.00 90.00°
Fractional coordinates of all 10 atoms:
1 Ca 0.000 0.000 0.000
2 Ca 0.500 0.500 0.000
3 La 0.173 0.327 0.500
4 La 0.327 0.827 0.500
5 La 0.673 0.173 0.500
6 La 0.827 0.673 0.500
7 Mg 0.120 0.620 0.000
8 Mg 0.380 0.120 0.000
9 Mg 0.620 0.880 0.000
10 Mg 0.880 0.380 0.000